# TiPdW2F

A relaxed structure of TiPdW2F (GGA+U, Alexandria).

abc: 5.109 5.109 3.762
angles: 90.00 90.00 90.00
Space group P4/mmm (No. 123)
Asymmetric unit:
Ti (0.000, 0.000, 0.000) x1
Pd (0.500, 0.500, 0.500) x1
W (0.000, 0.500, 0.000) x2
F (0.000, 0.000, 0.500) x1

Summary:
DOS at the Fermi energy in states/eV per cell: 4.3
E in eV per formula unit: -25.61
Crystal system: tetragonal